HgTe4Au: relaxed, PBE-GGA.

Results
Raw formation energy (eV/atom): 0.0241
Crystal system: monoclinic
Spin magnetization (Bohr magnetons per cell): 0.0
Symmetry: P2/m (10)
Calculated total energy (eV per formula unit): -16.00
Excess energy over the best structure of this formula in the dataset (meV/atom): 0

abc: 4.267 7.838 5.791
angles: 91.56 90.00 90.00
Positions (direct):
Hg (0.000, 0.500, 0.500)
Te (0.500, 0.379, 0.825)
Te (0.000, 0.905, 0.706)
Te (0.000, 0.095, 0.294)
Te (0.500, 0.621, 0.175)
Au (0.500, 0.000, 0.000)